Record 1
A plane-wave DFT calculation with PBE was carried out for crystalline Rb2LaAlS4 at its relaxed geometry.

The calculation puts the formation energy (no corrections) at -1.324 eV per atom.

The space group is C2/c (No. 15) and the conventional cell measures 11.930, 11.949 and 8.059 Å, with angles of 90.00, 132.47 and 90.00 degrees. Symmetry generates all atoms from Rb at (0.000, 0.000, 0.000), Rb at (0.250, 0.250, 0.000), La at (0.250, 0.250, 0.500), Al at (0.000, 0.500, 0.000), S at (0.000, 0.284, 0.023) and S at (0.189, 0.492, 0.439).

=====

Record 2
A plane-wave DFT calculation with PBE was carried out for crystalline RbLaAlSe4 at its relaxed geometry.

For the density of states at the Fermi level, the calculation gives 3.4 states/eV/cell. The calculation puts the formation energy (no corrections) at -1.358 eV per atom.

The space group is P2_1/m (No. 11) and the conventional cell measures 7.417, 6.103 and 9.964 Å, with angles of 90.00, 105.59 and 90.00 degrees. Symmetry generates all atoms from Rb at (0.238, 0.250, 0.452), La at (0.247, 0.250, 0.945), Al at (0.249, 0.750, 0.175), Se at (0.056, 0.750, 0.326), Se at (0.094, 0.750, 0.931) and Se at (0.495, 0.512, 0.786).